1.
Entry from Alexandria via LeMat-Bulk: an optimized crystal structure of La2PrHoTh (PBE-GGA).

Summary:
Magnetization ... 0.00 μB/f.u.
DFT total energy ... -5.022 eV/atom
DFT formation energy ... 304.0 meV per atom
Volume ... 36.46 A^3/atom

Cell and atoms, written as POSCAR:
```
La2PrHoTh
1.0
-4.1072 -3.5440 3.3811
-2.7726 -4.1648 -7.7336
5.0516 -3.2922 2.6856
Pr Th Ho La
2 2 2 4
Cartesian
-3.5589 -5.8699 -0.3673 Pr
1.7306 -5.1312 -1.2996 Pr
2.5258 -1.6461 1.3428 Th
0.0000 0.0000 0.0000 Th
-0.8005 -2.6035 2.3700 Ho
1.7448 -4.2328 3.6967 Ho
-1.3380 -2.9200 -0.9638 La
-0.3893 -5.9270 1.6773 La
-0.4902 -8.0810 -0.7032 La
-1.4390 -5.0741 -3.3442 La
```

---

2.
Entry from Alexandria via LeMat-Bulk: an optimized crystal structure of LaPrHoTh (PBE-GGA).

Summary:
Magnetization ... 0.00 μB/f.u.
DFT total energy ... -5.394 eV/atom
DFT formation energy ... 32.1 meV per atom
Volume ... 34.17 A^3/atom

Cell and atoms, written as POSCAR:
```
LaPrHoTh
1.0
-2.4125 2.3051 1.4156
-2.5058 -1.1897 -2.3332
-2.9256 -7.2674 6.8477
Pr Ho La Th
1 1 1 1
Cartesian
-4.8173 -5.3002 5.0609 Pr
-3.4397 -1.8780 1.8363 Ho
-0.2286 -0.5679 0.5351 La
-1.6540 -4.1086 3.8713 Th
```

---

3.
Entry from Alexandria via LeMat-Bulk: an optimized crystal structure of LaPrHoTh (PBE-GGA).

Summary:
Magnetization ... 0.00 μB/f.u.
DFT total energy ... -5.215 eV/atom
DFT formation energy ... 211.2 meV per atom
Volume ... 34.22 A^3/atom

Cell and atoms, written as POSCAR:
```
LaPrHoTh
1.0
-4.0419 0.2819 -4.1290
1.3877 -1.1770 -5.4913
-1.9291 -4.8496 -2.4952
Th La Pr Ho
1 1 1 1
Cartesian
-2.2916 -2.8723 -6.0577 Th
-1.1458 -1.4362 -3.0289 La
-3.4374 -4.3085 -9.0866 Pr
0.0000 0.0000 0.0000 Ho
```

---

4.
Entry from Alexandria via LeMat-Bulk: an optimized crystal structure of LaPr6Ho2Th (PBE-GGA).

Summary:
Magnetization ... 0.00 μB/f.u.
DFT total energy ... -4.882 eV/atom
DFT formation energy ... 136.4 meV per atom
Volume ... 35.24 A^3/atom

Cell and atoms, written as POSCAR:
```
LaPr6Ho2Th
1.0
-9.3760 0.7822 3.2272
-1.5127 -7.3854 -4.8110
3.4642 -1.2195 8.1542
Th Ho Pr La
2 4 12 2
Cartesian
-3.7177 -0.8185 10.1841 Th
-3.7069 -7.0041 -3.6138 Th
-7.1977 -5.5314 6.1862 Ho
-4.4719 -1.3513 3.1519 Ho
-0.2269 -2.2913 0.3841 Ho
-2.9527 -6.4714 3.4184 Ho
-4.8851 -3.6797 8.6237 Pr
-3.2926 -3.8372 1.2118 Pr
-9.3578 -6.1685 0.6958 Pr
-1.4111 -2.5224 7.5712 Pr
1.9332 -1.6542 5.8746 Pr
-6.9315 -2.1463 5.5585 Pr
-4.1320 -3.9854 5.3585 Pr
-4.4336 -0.2904 6.8385 Pr
-2.9910 -7.5322 -0.2682 Pr
-0.4932 -5.6763 1.0118 Pr
-2.5395 -4.1429 -2.0534 Pr
-6.0135 -5.3003 -1.0009 Pr
-6.5369 -4.3112 2.8400 La
-0.8877 -3.5115 3.7303 La
```

---

5.
Entry from Alexandria via LeMat-Bulk: an optimized crystal structure of La2Pr6Ho3Tl (PBE-GGA).

Summary:
Magnetization ... 0.00 μB/f.u.
DFT total energy ... -4.590 eV/atom
DFT formation energy ... -37.5 meV per atom
Volume ... 33.63 A^3/atom

Cell and atoms, written as POSCAR:
```
La2Pr6Ho3Tl
1.0
6.2671 -0.0047 -0.0065
-3.1361 5.4260 -0.0065
-1.0346 -1.7913 11.8762
Pr La Ho Tl
6 2 3 1
Cartesian
-1.0178 1.7698 3.0062 Pr
3.1142 1.8601 8.8570 Pr
2.1155 3.6629 3.0052 Pr
2.0416 0.0029 3.0062 Pr
-0.0191 -0.0330 8.8580 Pr
0.0548 3.6270 8.8570 Pr
0.0001 3.6147 -0.0065 La
3.1309 1.8065 -0.0065 La
-2.0818 3.6227 5.9316 Ho
1.0482 1.8150 5.9316 Ho
4.1782 0.0072 5.9316 Ho
0.0000 0.0000 0.0000 Tl
```

---

6.
Entry from Alexandria via LeMat-Bulk: an optimized crystal structure of LaPrHo2Tl4 (PBE-GGA).

Summary:
Magnetization ... 0.00 μB/f.u.
DFT total energy ... -3.905 eV/atom
DFT formation energy ... -364.4 meV per atom
Volume ... 29.08 A^3/atom

Cell and atoms, written as POSCAR:
```
LaPrHo2Tl4
1.0
5.4748 0.0000 0.0000
2.7374 4.7413 0.0000
2.7374 1.5804 8.9624
Tl Ho La Pr
4 2 1 1
Cartesian
5.4748 3.1609 1.1356 Tl
2.7374 1.5804 5.5886 Tl
8.2122 4.7413 3.3738 Tl
5.4748 3.1609 7.8268 Tl
8.2121 4.7413 6.7195 Ho
2.7374 1.5804 2.2429 Ho
0.0000 0.0000 0.0000 La
5.4748 3.1609 4.4812 Pr
```

---

7.
Entry from Alexandria via LeMat-Bulk: an optimized crystal structure of LaPr2HoTl2 (PBE-GGA).

Summary:
Magnetization ... 0.00 μB/f.u.
DFT total energy ... -4.237 eV/atom
DFT formation energy ... -271.0 meV per atom
Volume ... 31.78 A^3/atom

Cell and atoms, written as POSCAR:
```
LaPr2HoTl2
1.0
5.2641 0.0000 0.0000
0.0000 7.0098 0.0000
0.0000 0.0000 10.3356
La Pr Tl Ho
2 4 4 2
Cartesian
0.0000 6.7160 4.6983 La
0.0000 3.2111 5.6373 La
0.0000 5.8375 8.4548 Pr
0.0000 2.3326 1.8808 Pr
2.6320 3.9048 9.8400 Pr
2.6320 0.3999 0.4956 Pr
2.6320 1.5772 3.8592 Tl
0.0000 5.5829 1.4743 Tl
2.6320 5.0821 6.4764 Tl
0.0000 2.0780 8.8614 Tl
2.6320 1.2355 7.1470 Ho
2.6320 4.7404 3.1886 Ho
```

---

8.
Entry from Alexandria via LeMat-Bulk: an optimized crystal structure of La2PrHoTl2 (PBE-GGA).

Summary:
Magnetization ... 0.00 μB/f.u.
DFT total energy ... -4.277 eV/atom
DFT formation energy ... -285.9 meV per atom
Volume ... 31.60 A^3/atom

Cell and atoms, written as POSCAR:
```
La2PrHoTl2
1.0
-3.2096 -3.4775 -2.1684
5.0989 -4.8373 0.2106
-3.1766 -2.9385 9.4143
La Tl Ho Pr
4 4 2 2
Cartesian
-1.6208 -7.3081 7.8711 La
1.5384 -6.3706 7.9395 La
-1.3860 -2.3139 -0.4857 La
1.0544 -2.0413 1.7130 La
-1.6760 -3.9628 2.5878 Tl
-1.2108 -3.9262 8.0885 Tl
3.5789 -4.2726 1.5547 Tl
0.1429 -7.0573 4.8584 Tl
-2.9484 -4.6006 5.4940 Ho
0.8397 -5.8735 1.9285 Ho
0.6099 -3.8252 5.2317 Pr
3.4481 -5.9768 4.4814 Pr
```

---

9.
Entry from Alexandria via LeMat-Bulk: an optimized crystal structure of LaPr4HoTm2 (PBE-GGA).

Summary:
Magnetization ... 0.00 μB/f.u.
DFT total energy ... -4.673 eV/atom
DFT formation energy ... 22.8 meV per atom
Volume ... 34.10 A^3/atom

Cell and atoms, written as POSCAR:
```
LaPr4HoTm2
1.0
5.1689 0.0000 0.0000
2.5845 5.6999 -0.5618
2.5845 -0.1379 9.2735
Pr La Tm Ho
4 1 2 1
Cartesian
2.5845 0.6196 5.7466 Pr
5.1689 3.5498 0.7966 Pr
5.1689 2.0122 7.9151 Pr
7.7534 4.9424 2.9650 Pr
5.1689 2.7810 4.3558 La
7.7534 4.1900 6.5669 Tm
2.5845 1.3721 2.1448 Tm
0.0000 0.0000 0.0000 Ho
```

---

10.
Entry from Alexandria via LeMat-Bulk: an optimized crystal structure of LaPr3Ho2Tm6 (PBE-GGA).

Summary:
Magnetization ... 0.00 μB/f.u.
DFT total energy ... -4.580 eV/atom
DFT formation energy ... 24.0 meV per atom
Volume ... 32.13 A^3/atom

Cell and atoms, written as POSCAR:
```
LaPr3Ho2Tm6
1.0
6.2014 0.0001 0.0076
-3.0991 5.3715 0.0076
-1.0452 -1.8097 11.5686
Pr Tm Ho La
3 6 2 1
Cartesian
1.0286 1.7810 5.7919 Pr
4.1256 -0.0077 5.7919 Pr
-2.0684 3.5696 5.7919 Pr
-1.0378 1.7950 2.8721 Tm
3.0950 1.7670 8.7116 Tm
2.0734 -0.0019 2.8721 Tm
-0.0058 -0.0100 8.7025 Tm
-0.0163 3.5638 8.7116 Tm
2.0629 3.5719 2.8812 Tm
3.1020 1.7901 0.0076 Ho
0.0003 3.5815 0.0076 Ho
0.0000 0.0000 0.0000 La
```

---

11.
Entry from Alexandria via LeMat-Bulk: an optimized crystal structure of La2PrHo3Tm6 (PBE-GGA).

Summary:
Magnetization ... 0.00 μB/f.u.
DFT total energy ... -4.572 eV/atom
DFT formation energy ... 27.7 meV per atom
Volume ... 31.80 A^3/atom

Cell and atoms, written as POSCAR:
```
La2PrHo3Tm6
1.0
6.1775 0.0004 0.0045
-3.0869 5.3510 0.0045
-1.0365 -1.7947 11.5401
Tm La Pr Ho
6 2 1 3
Cartesian
-1.0282 1.7811 2.9544 Tm
-0.0074 -0.0128 8.5912 Tm
3.0823 1.7756 8.5948 Tm
-0.0025 3.5571 8.5948 Tm
2.0615 3.5695 2.9579 Tm
2.0566 -0.0004 2.9544 Tm
3.0895 1.7839 0.0045 La
0.0012 3.5675 0.0045 La
0.0000 0.0000 0.0000 Pr
-2.0620 3.5624 5.7746 Ho
4.1161 -0.0057 5.7746 Ho
1.0271 1.7783 5.7746 Ho
```

---

12.
Entry from Alexandria via LeMat-Bulk: an optimized crystal structure of La2Pr3HoTm6 (PBE-GGA).

Summary:
Magnetization ... 0.00 μB/f.u.
DFT total energy ... -4.614 eV/atom
DFT formation energy ... 19.7 meV per atom
Volume ... 32.55 A^3/atom

Cell and atoms, written as POSCAR:
```
La2Pr3HoTm6
1.0
-1.8937 2.2798 5.4880
-3.2526 -4.5386 -2.7792
8.1023 -7.1993 4.6058
Tm La Ho Pr
6 2 1 3
Cartesian
0.9651 -1.2298 3.2009 Tm
2.4425 -5.9623 6.8612 Tm
-1.8392 -3.4977 3.1871 Tm
0.5135 -3.4957 0.4534 Tm
1.9909 -8.2283 4.1138 Tm
4.7952 -5.9603 4.1276 Tm
-2.3475 0.0030 2.7274 La
-2.7988 -2.2618 -0.0186 La
0.0000 0.0000 0.0000 Ho
1.9308 -2.4571 6.4120 Pr
1.4780 -4.7290 3.6573 Pr
1.0252 -7.0009 0.9026 Pr
```